1.
Below is crystalline CoReTc2H at its relaxed geometry, with properties calculated at the PBE level.

```
CoReTc2H
1.0
3.896 0.000 0.000
0.000 3.896 0.000
0.000 0.000 3.716
Tc Re Co H
2 1 1 1
Cartesian
0.000 1.948 0.000
1.948 0.000 0.000
1.948 1.948 1.858
0.000 0.000 1.858
0.000 0.000 0.000
```

Density of states at the Fermi level   0.8492 states/eV per atom
Polymorph energy (0 for the lowest one)   0 meV/atom
Calculated volume   56.4 Å³/cell

2.
Below is crystalline ZnGe2Mo2 at its relaxed geometry, with properties calculated at the PBE level.

```
ZnGe2Mo2
1.0
6.907 0.000 0.000
0.000 6.907 0.000
0.000 0.000 3.383
Ge Mo Zn
4 4 2
Cartesian
1.029 4.482 1.691
2.424 1.029 1.691
5.877 2.424 1.691
4.482 5.877 1.691
4.469 1.016 0.000
1.016 2.437 0.000
5.891 4.469 0.000
2.437 5.891 0.000
0.000 0.000 0.000
3.453 3.453 0.000
```

Density of states at the Fermi level   0.4273 states/eV per atom
Polymorph energy (0 for the lowest one)   0 meV/atom
Calculated volume   161.4 Å³/cell
Formation energy   0.02 eV/atom

3.
Below is crystalline MgNi2N at its relaxed geometry, with properties calculated at the PBE level.

```
MgNi2N
1.0
-1.278 1.869 3.274
-3.170 2.401 -0.188
-3.427 -1.092 1.706
Ni N Mg
2 1 1
Cartesian
-1.969 0.794 1.198
-5.907 2.383 3.594
0.000 0.000 0.000
-3.938 1.589 2.396
```

Uncorrected formation energy   0.89 eV/atom
Density of states at the Fermi level   1.2044 states/eV per atom
Polymorph energy (0 for the lowest one)   814 meV/atom
Calculated volume   44.6 Å³/cell

4.
Below is crystalline CaCuSbSe3 at its relaxed geometry, with properties calculated at the PBE level.

```
CaCuSbSe3
1.0
4.029 0.000 0.000
0.000 8.485 0.262
0.000 -1.975 8.616
Se Cu Ca Sb
6 2 2 2
Cartesian
1.007 5.593 4.473
3.022 0.917 4.405
3.022 7.364 1.332
1.007 3.290 7.339
3.022 3.220 1.539
1.007 -0.854 7.547
1.007 -0.511 4.982
3.022 7.021 3.897
1.007 0.969 2.153
3.022 5.542 6.726
3.022 1.176 7.327
1.007 5.334 1.551
```

Uncorrected formation energy   -0.76 eV/atom
Calculated volume   296.6 Å³/cell

5.
Below is crystalline Ba2GeSe3 at its relaxed geometry, with properties calculated at the PBE level.

```
Ba2GeSe3
1.0
-2.479 -1.369 5.967
8.379 -0.139 3.449
-1.294 7.311 -2.515
Ba Se Ge
4 6 2
Cartesian
2.801 1.491 5.162
-1.388 1.561 3.436
1.807 4.312 1.739
5.996 4.242 3.465
4.856 -0.893 6.025
4.061 1.918 2.121
1.045 -0.615 3.391
0.546 3.885 4.780
4.740 3.818 6.494
-0.133 1.985 0.406
1.995 -0.090 1.102
3.906 -1.418 8.314
```

Uncorrected formation energy   -1.38 eV/atom
Density of states at the Fermi level   0.0000 states/eV per atom
Calculated volume   403.4 Å³/cell

6.
Below is crystalline LiLaFe2 at its relaxed geometry, with properties calculated at the PBE level.

```
LiLaFe2
1.0
-2.774 -0.690 -1.353
-1.344 -0.195 2.856
-1.692 7.371 -0.292
Fe La Li
2 1 1
Cartesian
-2.355 0.846 0.701
-0.069 0.301 -0.012
-0.775 3.375 -0.134
-3.457 5.649 0.510
```

Density of states at the Fermi level   0.8370 states/eV per atom
Polymorph energy (0 for the lowest one)   68 meV/atom
Calculated volume   75.7 Å³/cell
Formation energy   0.28 eV/atom

7.
Below is crystalline MgMnHg2 at its relaxed geometry, with properties calculated at the PBE level.

```
MgMnHg2
1.0
-5.103 1.632 -0.989
-3.933 0.400 -3.749
-2.672 -4.071 0.685
Mn Hg Mg
1 2 1
Cartesian
-2.812 -0.355 -1.034
-8.697 -1.337 -3.090
-9.096 1.804 -4.663
-5.991 -1.140 -2.031
```

Density of states at the Fermi level   0.4786 states/eV per atom
Calculated volume   80.3 Å³/cell
Formation energy   0.12 eV/atom

8.
Below is crystalline Hf2HgSb2 at its relaxed geometry, with properties calculated at the PBE level.

```
Hf2HgSb2
1.0
7.884 0.000 0.000
0.000 7.884 0.000
0.000 0.000 3.802
Sb Hf Hg
4 4 2
Cartesian
6.672 2.730 1.901
1.212 5.154 1.901
5.154 6.672 1.901
2.730 1.212 1.901
6.776 5.049 0.000
2.835 6.776 0.000
1.107 2.835 0.000
5.049 1.107 0.000
0.000 0.000 0.000
3.942 3.942 0.000
```

Uncorrected formation energy   -0.33 eV/atom
Density of states at the Fermi level   0.7633 states/eV per atom
Polymorph energy (0 for the lowest one)   0 meV/atom
Calculated volume   236.3 Å³/cell

Q: The lowest calculated volume belongs to which entry?
A: MgNi2N